{"formula": "MnRuCl2", "functional": "GGA-PBE", "state": "optimized geometry", "e_form_raw_kj_per_mol_fu": -60, "volume_a3_per_cell": 78.1, "spacegroup": "R3m (160)", "lattice_angstrom": [[-7.1123, 0.8345, 5.6443], [-8.6367, 0.2984, 2.9081], [-7.5566, -2.1441, 4.6302]], "species": ["Ru", "Mn", "Cl", "Cl"], "fractional_positions": [[0.7584, 0.7584, 0.7584], [0.4937, 0.4937, 0.4937], [0.0277, 0.0277, 0.0277], [0.2201, 0.2201, 0.2201]]}